[1]
Here is crystalline LiLu at its relaxed geometry from Alexandria via LeMat-Bulk. Energies are from PBE-GGA.

Results
Electronic total energy, eV for the cell shown: -12.56
Density, g/cm3: 6.21
Space group: No. 129
Energy of formation from the pure elements, kJ per mole of atoms: 7.55
Density of states at the Fermi level, states/eV per cell: 3.04

Cell lengths 3.5975, 3.5974, 7.5159 Å; angles 90.00, 90.00, 90.00 degrees
Closest atoms and distances in Å follow each position.
Sites, in units of the cell vectors:
Lu1 0.2500 0.2500 0.6450  5 Li 3.24-3.33, 8 Lu 3.35-3.60
Lu2 0.7500 0.7500 0.3550  5 Li 3.24-3.33, 8 Lu 3.35-3.60
Li1 0.2500 0.2500 0.0881  4 Li 2.87
Li2 0.7500 0.7500 0.9119  4 Li 2.87


[2]
Here is crystalline SnSbRh3 at its relaxed geometry from Alexandria via LeMat-Bulk. Energies are from PBE-GGA.

Results
Raw formation energy, meV per atom: 674.1
Electronic total energy, eV for the cell shown: -26.81
Density, g/cm3: 8.02
Space group: No. 221
Density of states at the Fermi level, states/eV per cell: 4.50

Cell lengths 4.8455, 4.8455, 4.8455 Å; angles 90.00, 90.00, 90.00 degrees
Closest atoms and distances in Å follow each position.
Sites, in units of the cell vectors:
Sb1 0.0000 0.0000 0.0000  6 Rh 2.42
Rh1 0.0000 0.5000 0.0000  2 Sb 2.42
Rh2 0.0000 0.0000 0.5000  2 Sb 2.42
Rh3 0.5000 0.0000 0.0000  2 Sb 2.42
Sn1 0.5000 0.5000 0.5000  12 Rh 3.43


[3]
Here is crystalline MgHPd3 at its relaxed geometry from Alexandria via LeMat-Bulk. Energies are from PBE-GGA.

Results
Electronic total energy, eV for the cell shown: -43.71
Density, g/cm3: 8.38
Space group: No. 167
Density of states at the Fermi level, states/eV per cell: 3.84

Cell lengths 5.1494, 5.1494, 5.1494 Å; angles 89.81, 89.81, 89.81 degrees
Closest atoms and distances in Å follow each position.
Sites, in units of the cell vectors:
H1 0.2500 0.2500 0.2500  3 Pd 1.83
H2 0.7500 0.7500 0.7500  3 Pd 1.83
Mg1 0.0000 0.0000 0.0000  2 H 2.24
Mg2 0.5000 0.5000 0.5000  2 H 2.24
Pd1 0.9979 0.5021 0.2500  1 H 1.83
Pd2 0.5021 0.2500 0.9979  1 H 1.83
Pd3 0.2500 0.9979 0.5021  1 H 1.83
Pd4 0.7500 0.0021 0.4979  1 H 1.83
Pd5 0.4979 0.7500 0.0021  1 H 1.83
Pd6 0.0021 0.4979 0.7500  1 H 1.83


[4]
Here is crystalline NdZn2PdPt at its relaxed geometry from Alexandria via LeMat-Bulk. Energies are from PBE-GGA.

Results
Electronic total energy, eV for the cell shown: -21.86
Density, g/cm3: 9.98
Space group: No. 44
Energy of formation from the pure elements, kJ per mole of atoms: -63.82
Density of states at the Fermi level, states/eV per cell: 2.24

Cell lengths 4.0522, 3.8996, 6.6916 Å; angles 106.94, 107.62, 90.00 degrees
Closest atoms and distances in Å follow each position.
Sites, in units of the cell vectors:
Nd1 0.4315 0.4315 0.8631  4 Pt 3.00, 4 Zn 3.18
Zn1 0.6924 0.1924 0.3848  2 Zn 2.63, 2 Pt 2.69, 4 Pd 2.81
Zn2 0.0543 0.0543 0.1086  1 Pt 2.54, 2 Pd 2.55, 2 Zn 2.63
Pd1 0.1891 0.6891 0.3782  6 Zn 2.55-2.81, 2 Pt 2.77
Pt1 0.8448 0.8448 0.6896  3 Zn 2.54-2.69, 2 Pd 2.77


[5]
Here is crystalline HgAuI5 at its relaxed geometry from Alexandria via LeMat-Bulk. Energies are from PBE-GGA.

Results
Raw formation energy, meV per atom: -102.2
Electronic total energy, eV for the cell shown: -24.09
Density, g/cm3: 4.61
Space group: No. 15
Density of states at the Fermi level, states/eV per cell: 2.58

Cell lengths 8.7683, 8.7683, 9.7079 Å; angles 90.34, 90.34, 85.75 degrees
Closest atoms and distances in Å follow each position.
Sites, in units of the cell vectors:
Hg1 0.5167 0.4833 0.2500  2 I 2.63
Hg2 0.4833 0.5167 0.7500  2 I 2.63
Au1 0.0000 0.0000 0.0000  4 I 2.65-2.74
Au2 0.0000 0.0000 0.5000  4 I 2.65-2.74
I1 0.6819 0.6524 0.0963  1 Hg 2.63
I2 0.1312 0.7268 0.4351  1 Au 2.65
I3 0.6524 0.6819 0.5963  1 Hg 2.63
I4 0.8940 0.1060 0.2500  2 Au 2.74
I5 0.2732 0.8688 0.0649  1 Au 2.65
I6 0.7268 0.1312 0.9351  1 Au 2.65
I7 0.1060 0.8940 0.7500  2 Au 2.74
I8 0.3476 0.3181 0.4037  1 Hg 2.63
I9 0.8688 0.2732 0.5649  1 Au 2.65
I10 0.3181 0.3476 0.9037  1 Hg 2.63


[6]
Here is crystalline TmHf2Fe at its relaxed geometry from Alexandria via LeMat-Bulk. Energies are from PBE-GGA.

Results
Electronic total energy, eV for the cell shown: -32.80
Density, g/cm3: 11.63
Space group: No. 123
Energy of formation from the pure elements, kJ per mole of atoms: 0.99
Density of states at the Fermi level, states/eV per cell: 6.28

Cell lengths 3.2135, 3.2135, 8.0454 Å; angles 90.00, 90.00, 90.00 degrees
Closest atoms and distances in Å follow each position.
Sites, in units of the cell vectors:
Tm1 0.5000 0.5000 0.5000  4 Tm 3.21, 8 Hf 3.39
Hf1 0.0000 0.0000 0.8133  4 Fe 2.72, 1 Hf 3.00
Hf2 0.0000 0.0000 0.1867  4 Fe 2.72, 1 Hf 3.00
Fe1 0.5000 0.5000 0.0000  8 Hf 2.72


[7]
Here is crystalline CrSb2Au at its relaxed geometry from Alexandria via LeMat-Bulk. Energies are from PBE-GGA.

Results
Raw formation energy, meV per atom: 330.1
Electronic total energy, eV for the cell shown: -19.83
Density, g/cm3: 9.33
Space group: No. 225
Density of states at the Fermi level, states/eV per cell: 2.90

Cell lengths 4.9858, 4.9858, 4.9858 Å; angles 60.00, 60.00, 60.00 degrees
Closest atoms and distances in Å follow each position.
Sites, in units of the cell vectors:
Sb1 0.2500 0.2500 0.2500  4 Cr 3.05, 4 Au 3.05
Sb2 0.7500 0.7500 0.7500  4 Cr 3.05, 4 Au 3.05
Au1 0.5000 0.5000 0.5000  8 Sb 3.05
Cr1 0.0000 0.0000 0.0000  8 Sb 3.05


[8]
Here is crystalline Hg4Te2SeCl at its relaxed geometry from Alexandria via LeMat-Bulk. Energies are from PBE-GGA.

Results
Raw formation energy, meV per atom: -183.7
Electronic total energy, eV for the cell shown: -14.29
Density, g/cm3: 6.79
Space group: No. 42
Density of states at the Fermi level, states/eV per cell: 2.88

Cell lengths 6.6682, 6.6682, 7.9858 Å; angles 114.66, 114.66, 90.04 degrees
Closest atoms and distances in Å follow each position.
Sites, in units of the cell vectors:
Hg1 0.6065 0.6065 0.7489  1 Se 2.72, 2 Te 2.86, 1 Cl 3.00
Hg2 0.3926 0.8580 0.2506  1 Se 2.72, 2 Te 2.86, 1 Cl 2.99
Hg3 0.8580 0.3926 0.2506  1 Se 2.72, 2 Te 2.86, 1 Cl 2.99
Hg4 0.1425 0.1425 0.7489  1 Se 2.72, 2 Te 2.86, 1 Cl 3.00
Te1 0.7501 0.2501 0.5003  4 Hg 2.86
Te2 0.2501 0.7501 0.5003  4 Hg 2.86
Se1 0.5002 0.5002 0.0005  4 Hg 2.72
Cl1 0.0002 0.0002 0.0005  4 Hg 2.99-3.00


[9]
Here is crystalline NbBiAu2 at its relaxed geometry from Alexandria via LeMat-Bulk. Energies are from PBE-GGA.

Results
Electronic total energy, eV for the cell shown: -39.17
Density, g/cm3: 13.14
Space group: No. 122
Energy of formation from the pure elements, kJ per mole of atoms: 22.21
Density of states at the Fermi level, states/eV per cell: 3.14

Cell lengths 7.8095, 7.8095, 6.2296 Å; angles 51.19, 51.19, 90.00 degrees
Closest atoms and distances in Å follow each position.
Sites, in units of the cell vectors:
Nb1 0.5000 0.5000 0.0000  4 Au 2.77, 2 Bi 2.88
Nb2 0.2500 0.7500 0.5000  4 Au 2.77, 2 Bi 2.88
Au1 0.6097 0.1250 0.2500  2 Nb 2.77, 2 Au 2.89, 2 Bi 2.94
Au2 0.1403 0.6250 0.2500  2 Nb 2.77, 2 Au 2.89, 2 Bi 2.94
Au3 0.3750 0.3903 0.7500  2 Nb 2.77, 2 Au 2.89, 2 Bi 2.94
Au4 0.8750 0.8597 0.7500  2 Nb 2.77, 2 Au 2.89, 2 Bi 2.94
Bi1 0.0000 0.0000 0.0000  2 Nb 2.88, 4 Au 2.94
Bi2 0.7500 0.2500 0.5000  2 Nb 2.88, 4 Au 2.94


[10]
Here is crystalline TbNbI at its relaxed geometry from Alexandria via LeMat-Bulk. Energies are from PBE-GGA.

Results
Raw formation energy, meV per atom: -265.2
Electronic total energy, eV for the cell shown: -34.09
Density, g/cm3: 6.00
Space group: No. 12
Density of states at the Fermi level, states/eV per cell: 4.18

Cell lengths 4.8535, 3.9521, 14.9112 Å; angles 97.62, 48.18, 90.00 degrees
Closest atoms and distances in Å follow each position.
Sites, in units of the cell vectors:
I1 0.3934 0.0859 0.1718  1 Nb 3.01, 2 Tb 3.16
I2 0.6066 0.9141 0.8282  1 Nb 3.01, 2 Tb 3.16
Tb1 0.2467 0.3137 0.6275  2 I 3.16, 6 Nb 3.17-3.38, 2 Tb 3.42
Tb2 0.7533 0.6863 0.3725  2 I 3.16, 6 Nb 3.17-3.38, 2 Tb 3.42
Nb1 0.1585 0.2096 0.4191  2 Nb 2.65
Nb2 0.8415 0.7904 0.5809  2 Nb 2.65